# SrZnSnBr2 (GGA-PBEsol, relaxed)
data_SrZnSnBr2
_space_group_name_H-M_alt 'P 1'
_space_group_IT_number 1
_cell_length_a 5.705
_cell_length_b 5.705
_cell_length_c 5.252
_cell_angle_alpha 90.00
_cell_angle_beta 90.00
_cell_angle_gamma 90.00
loop_
_space_group_symop_operation_xyz
'x,y,z'
loop_
_atom_site_label
_atom_site_fract_x
_atom_site_fract_y
_atom_site_fract_z
_atom_site_occupancy
Sr1 0.000 0.000 0.000 1
Zn1 0.500 0.500 0.000 1
Sn1 0.500 0.500 0.500 1
Br1 0.000 0.500 0.500 1
Br2 0.500 0.000 0.500 1
# * E_tot: -2.699 eV/atom
# * ΔE_f (raw): -415 meV per atom
# * calculated density: 4.19 Mg/m³
# * Fermi-level density of states: 2.35 states/eV/f.u.

=====

# SrZrSnBr2 (GGA-PBEsol, relaxed)
data_SrZrSnBr2
_space_group_name_H-M_alt 'P 1'
_space_group_IT_number 1
_cell_length_a 5.659
_cell_length_b 5.659
_cell_length_c 5.752
_cell_angle_alpha 90.00
_cell_angle_beta 90.00
_cell_angle_gamma 90.00
loop_
_space_group_symop_operation_xyz
'x,y,z'
loop_
_atom_site_label
_atom_site_fract_x
_atom_site_fract_y
_atom_site_fract_z
_atom_site_occupancy
Sr1 0.000 0.000 0.000 1
Zr1 0.500 0.500 0.000 1
Sn1 0.500 0.500 0.500 1
Br1 0.000 0.500 0.500 1
Br2 0.500 0.000 0.500 1
# * E_tot: -3.669 eV/atom
# * ΔE_f (raw): 117 meV per atom
# * calculated density: 4.12 Mg/m³
# * Fermi-level density of states: 4.21 states/eV/f.u.

=====

# TcSn3Br (GGA-PBEsol, relaxed)
data_TcSn3Br
_space_group_name_H-M_alt 'P 1'
_space_group_IT_number 1
_cell_length_a 5.110
_cell_length_b 5.110
_cell_length_c 5.110
_cell_angle_alpha 90.00
_cell_angle_beta 90.00
_cell_angle_gamma 90.00
loop_
_space_group_symop_operation_xyz
'x,y,z'
loop_
_atom_site_label
_atom_site_fract_x
_atom_site_fract_y
_atom_site_fract_z
_atom_site_occupancy
Tc1 0.000 0.000 0.000 1
Sn1 0.000 0.000 0.500 1
Sn2 0.000 0.500 0.000 1
Sn3 0.500 0.000 0.000 1
Br1 0.500 0.500 0.500 1
# * E_tot: -5.369 eV/atom
# * ΔE_f (raw): -186 meV per atom
# * calculated density: 6.65 Mg/m³
# * Fermi-level density of states: 0.01 states/eV/f.u.

=====

# SnTeBr3 (GGA-PBEsol, relaxed)
data_SnTeBr3
_space_group_name_H-M_alt 'P 1'
_space_group_IT_number 1
_cell_length_a 5.566
_cell_length_b 5.566
_cell_length_c 5.566
_cell_angle_alpha 90.00
_cell_angle_beta 90.00
_cell_angle_gamma 90.00
loop_
_space_group_symop_operation_xyz
'x,y,z'
loop_
_atom_site_label
_atom_site_fract_x
_atom_site_fract_y
_atom_site_fract_z
_atom_site_occupancy
Sn1 0.000 0.000 0.000 1
Te1 0.500 0.500 0.500 1
Br1 0.000 0.000 0.500 1
Br2 0.000 0.500 0.000 1
Br3 0.500 0.000 0.000 1
# * E_tot: -2.735 eV/atom
# * ΔE_f (raw): -56 meV per atom
# * calculated density: 4.68 Mg/m³
# * Fermi-level density of states: 2.80 states/eV/f.u.

=====

# ZnSn2TeBr (GGA-PBEsol, relaxed)
data_ZnSn2TeBr
_space_group_name_H-M_alt 'P 1'
_space_group_IT_number 1
_cell_length_a 5.540
_cell_length_b 5.540
_cell_length_c 5.479
_cell_angle_alpha 90.00
_cell_angle_beta 90.00
_cell_angle_gamma 90.00
loop_
_space_group_symop_operation_xyz
'x,y,z'
loop_
_atom_site_label
_atom_site_fract_x
_atom_site_fract_y
_atom_site_fract_z
_atom_site_occupancy
Zn1 0.000 0.000 0.000 1
Sn1 0.000 0.500 0.500 1
Sn2 0.500 0.000 0.500 1
Te1 0.500 0.500 0.000 1
Br1 0.500 0.500 0.500 1
# * E_tot: -2.329 eV/atom
# * ΔE_f (raw): 770 meV per atom
# * calculated density: 5.04 Mg/m³
# * Fermi-level density of states: 3.67 states/eV/f.u.

=====

# TiSnBr3 (GGA-PBEsol, relaxed)
data_TiSnBr3
_space_group_name_H-M_alt 'P 1'
_space_group_IT_number 1
_cell_length_a 5.113
_cell_length_b 5.113
_cell_length_c 5.113
_cell_angle_alpha 90.00
_cell_angle_beta 90.00
_cell_angle_gamma 90.00
loop_
_space_group_symop_operation_xyz
'x,y,z'
loop_
_atom_site_label
_atom_site_fract_x
_atom_site_fract_y
_atom_site_fract_z
_atom_site_occupancy
Ti1 0.000 0.000 0.000 1
Sn1 0.500 0.500 0.500 1
Br1 0.000 0.000 0.500 1
Br2 0.000 0.500 0.000 1
Br3 0.500 0.000 0.000 1
# * E_tot: -4.082 eV/atom
# * ΔE_f (raw): -443 meV per atom
# * calculated density: 5.05 Mg/m³
# * Fermi-level density of states: 6.01 states/eV/f.u.